No. 1
LiScSi2O after structural relaxation. Source: Alexandria via LeMat-Bulk, functional PBE-GGA.

## Properties
- space group = P4/mmm
- formation energy (no corrections) (eV/atom) = -0.10

abc: 4.864 4.864 3.248
angles: 90.00 90.00 90.00
Fractional coordinates of all 5 atoms:
Li (0.000, 0.000, 0.000)
Sc (0.500, 0.500, 0.500)
Si (0.000, 0.500, 0.000)
Si (0.500, 0.000, 0.000)
O (0.000, 0.000, 0.500)

=====

No. 2
LiScSi2O6 after structural relaxation. Source: Alexandria via LeMat-Bulk, functional PBE-GGA.

## Properties
- space group = C2/c
- formation energy (no corrections) (eV/atom) = -2.92

abc: 6.740 6.740 5.417
angles: 105.24 105.24 84.41
Fractional coordinates of all 20 atoms:
Li (0.250, 0.750, 0.750)
Li (0.750, 0.250, 0.250)
Sc (0.108, 0.892, 0.250)
Sc (0.892, 0.108, 0.750)
Si (0.210, 0.384, 0.280)
Si (0.384, 0.210, 0.780)
Si (0.616, 0.790, 0.220)
Si (0.790, 0.616, 0.720)
O (0.035, 0.205, 0.159)
O (0.124, 0.620, 0.342)
O (0.205, 0.035, 0.659)
O (0.352, 0.353, 0.065)
O (0.353, 0.352, 0.565)
O (0.380, 0.876, 0.158)
O (0.620, 0.124, 0.842)
O (0.647, 0.648, 0.435)
O (0.648, 0.647, 0.935)
O (0.795, 0.965, 0.341)
O (0.876, 0.380, 0.658)
O (0.965, 0.795, 0.841)

=====

No. 3
LiScSi2O6 after structural relaxation. Source: Alexandria via LeMat-Bulk, functional PBE-GGA.

## Properties
- space group = P2_1/c
- formation energy (no corrections) (eV/atom) = -2.92

abc: 9.521 9.057 5.415
angles: 90.00 101.40 90.00
Fractional coordinates of all 40 atoms:
Li (0.249, 0.000, 0.003)
Li (0.249, 0.500, 0.503)
Li (0.751, 0.000, 0.997)
Li (0.751, 0.500, 0.497)
Sc (0.250, 0.142, 0.505)
Sc (0.250, 0.358, 0.005)
Sc (0.750, 0.642, 0.995)
Sc (0.750, 0.858, 0.495)
Si (0.048, 0.663, 0.764)
Si (0.048, 0.837, 0.264)
Si (0.453, 0.663, 0.228)
Si (0.453, 0.837, 0.728)
Si (0.547, 0.163, 0.272)
Si (0.547, 0.337, 0.772)
Si (0.952, 0.163, 0.736)
Si (0.952, 0.337, 0.236)
O (0.103, 0.744, 0.528)
O (0.103, 0.756, 0.028)
O (0.121, 0.502, 0.786)
O (0.121, 0.998, 0.286)
O (0.129, 0.166, 0.792)
O (0.129, 0.334, 0.292)
O (0.370, 0.164, 0.215)
O (0.370, 0.336, 0.715)
O (0.378, 0.503, 0.226)
O (0.378, 0.997, 0.726)
O (0.399, 0.742, 0.951)
O (0.399, 0.758, 0.451)
O (0.601, 0.242, 0.549)
O (0.601, 0.258, 0.049)
O (0.622, 0.003, 0.274)
O (0.622, 0.497, 0.774)
O (0.630, 0.664, 0.285)
O (0.630, 0.836, 0.785)
O (0.871, 0.666, 0.708)
O (0.871, 0.834, 0.208)
O (0.879, 0.002, 0.714)
O (0.879, 0.498, 0.214)
O (0.897, 0.244, 0.972)
O (0.897, 0.256, 0.472)